Record 1
YOs2W: optimized geometry, GGA-PBE.

The space group is P2/m (No. 10) and the conventional cell measures 2.910, 4.292 and 5.849 Å, with angles of 90.00, 103.22 and 90.00 degrees. The inequivalent atoms are Y at (0.000, 0.000, 0.000), Os at (0.309, 0.500, 0.709) and W at (0.500, 0.000, 0.500).

The energy above the most stable polymorph in this dataset is 0.260 eV per atom. As for the density: 15252 kg/m³. The calculation puts the total energy at -10.181 eV per atom. The energy of formation comes out at 288 meV per atom. For the density of states at the Fermi level, the calculation gives 3.8 states/eV/cell.

***

Record 2
RbHOs2: optimized geometry, GGA-PBE.

The space group is I4_1/amd (No. 141, origin choice 2) and the conventional cell measures 5.782, 5.782 and 8.222 Å, with angles of 90.00, 90.00 and 90.00 degrees. The inequivalent atoms are Rb at (0.000, 0.250, 0.375), H at (0.000, 0.250, 0.875) and Os at (0.000, 0.000, 0.000).

The energy above the most stable polymorph in this dataset is 0.000 eV per atom. As for the density: 11285 kg/m³. The calculation puts the total energy at -5.394 eV per atom. For the density of states at the Fermi level, the calculation gives 17.3 states/eV/cell.

***

Record 3
RbCrS2: optimized geometry, GGA-PBE.

The space group is P-1 (No. 2) and the conventional cell measures 3.436, 6.838 and 8.584 Å, with angles of 71.72, 89.99 and 89.63 degrees. The inequivalent atoms are Rb at (0.247, 0.318, 0.321), Cr at (0.249, 0.117, 0.866), S at (0.252, 0.819, 0.332) and S at (0.253, 0.771, 0.993).

Its uncorrected formation energy is -0.831 eV/atom. As for the density: 3496 kg/m³. The calculation puts the total energy at -5.542 eV per atom. For the density of states at the Fermi level, the calculation gives 5.4 states/eV/cell.

***

Record 4
Pr3ErMg: optimized geometry, GGA-PBE.

The space group is C2/m (No. 12) and the conventional cell measures 22.939, 3.567 and 8.607 Å, with angles of 90.00, 108.07 and 90.00 degrees. The inequivalent atoms are Pr at (0.017, 0.000, 0.225), Pr at (0.122, 0.500, 0.034), Pr at (0.176, 0.000, 0.444), Er at (0.235, 0.500, 0.821) and Mg at (0.076, 0.500, 0.599).

The energy above the most stable polymorph in this dataset is 0.000 eV per atom. As for the density: 6094 kg/m³. The calculation puts the total energy at -4.033 eV per atom. The energy of formation comes out at 66 meV per atom. For the density of states at the Fermi level, the calculation gives 29.5 states/eV/cell.

***

Record 5
YRe2Pt: optimized geometry, GGA-PBE.

The space group is C2/m (No. 12) and the conventional cell measures 5.468, 9.873 and 2.795 Å, with angles of 90.00, 113.01 and 90.00 degrees. The inequivalent atoms are Y at (0.000, 0.000, 0.000), Re at (0.250, 0.250, 0.500) and Pt at (0.000, 0.500, 0.000).

The energy above the most stable polymorph in this dataset is 0.330 eV per atom. As for the density: 15698 kg/m³. The calculation puts the total energy at -9.153 eV per atom. The energy of formation comes out at 197 meV per atom. For the density of states at the Fermi level, the calculation gives 7.8 states/eV/cell.

***

Record 6
Pm8BiTe4P3: optimized geometry, GGA-PBE.

The space group is R-3m (No. 166, hexagonal axes) and the conventional cell measures 8.6346, 8.6346 and 21.8371 Å, with angles of 90.00, 90.00 and 120.00 degrees. The inequivalent atoms are Pm at (0.0000, 0.0000, 0.2374), Pm at (0.0191, 0.5095, 0.7596), Bi at (0.0000, 0.0000, 0.5000), Te at (0.0000, 0.0000, 0.0000), Te at (0.0000, 0.5000, 0.0000) and P at (0.0000, 0.5000, 0.5000).

Its uncorrected formation energy is -1.459 eV/atom. As for the density: 6968 kg/m³. The calculation puts the total energy at -5.876 eV per atom. For the density of states at the Fermi level, the calculation gives 19.0 states/eV/cell.

***

Record 7
RbAcSiTe4: optimized geometry, GGA-PBE.

The space group is P2_1/m (No. 11) and the conventional cell measures 7.506, 7.651 and 10.254 Å, with angles of 90.00, 107.99 and 90.00 degrees. The inequivalent atoms are Rb at (0.247, 0.250, 0.438), Ac at (0.264, 0.250, 0.947), Si at (0.292, 0.750, 0.183), Te at (0.097, 0.750, 0.343), Te at (0.105, 0.750, 0.930) and Te at (0.488, 0.509, 0.775).

Its uncorrected formation energy is -0.911 eV/atom. As for the density: 5046 kg/m³. The calculation puts the total energy at -4.206 eV per atom.

***

Record 8
Sm2HoThAs4: optimized geometry, GGA-PBE.

The space group is P2/m (No. 10) and the conventional cell measures 7.257, 4.204 and 7.278 Å, with angles of 90.00, 109.45 and 90.00 degrees. The inequivalent atoms are Sm at (0.000, 0.000, 0.000), Sm at (0.500, 0.500, 0.000), Ho at (0.000, 0.500, 0.500), Th at (0.500, 0.000, 0.500), As at (0.245, 0.000, 0.745) and As at (0.247, 0.500, 0.252).

As for the density: 7910 kg/m³. The calculation puts the total energy at -6.518 eV per atom. The energy of formation comes out at -1514 meV per atom. For the density of states at the Fermi level, the calculation gives 1.5 states/eV/cell.

***

Record 9
TiTeO3: optimized geometry, GGA-PBE.

The space group is Pm-3m (No. 221) and the conventional cell measures 3.928, 3.928 and 3.928 Å, with angles of 90.00, 90.00 and 90.00 degrees. The inequivalent atoms are Ti at (0.000, 0.000, 0.000), Te at (0.500, 0.500, 0.500) and O at (0.000, 0.000, 0.500).

Its uncorrected formation energy is -1.530 eV/atom. As for the density: 6124 kg/m³. The calculation puts the total energy at -6.713 eV per atom. For the density of states at the Fermi level, the calculation gives 1.7 states/eV/cell.

***

Record 10
Th2BeCu3Ni12: optimized geometry, GGA-PBE.

The space group is R-3m (No. 166, hexagonal axes) and the conventional cell measures 6.1541, 6.1541 and 23.3609 Å, with angles of 90.00, 90.00 and 120.00 degrees. The inequivalent atoms are Th at (0.0000, 0.0000, 0.1566), Be at (0.0000, 0.0000, 0.5000), Cu at (0.0000, 0.5000, 0.0000), Ni at (0.0590, 0.5295, 0.1022) and Ni at (0.0744, 0.5372, 0.6130).

As for the density: 8895 kg/m³. The calculation puts the total energy at -5.458 eV per atom. The energy of formation comes out at 110 meV per atom. For the density of states at the Fermi level, the calculation gives 45.9 states/eV/cell.

***

Record 11
TaSbTe3: optimized geometry, GGA-PBE.

The space group is Pm-3m (No. 221) and the conventional cell measures 5.595, 5.595 and 5.595 Å, with angles of 90.00, 90.00 and 90.00 degrees. The inequivalent atoms are Ta at (0.000, 0.000, 0.000), Sb at (0.500, 0.500, 0.500) and Te at (0.000, 0.500, 0.500).

The energy above the most stable polymorph in this dataset is 1.204 eV per atom. Its uncorrected formation energy is 1.347 eV/atom. As for the density: 6499 kg/m³. The calculation puts the total energy at -3.733 eV per atom. For the density of states at the Fermi level, the calculation gives 5.1 states/eV/cell.

***

Record 12
SmZn2Pd: optimized geometry, GGA-PBE.

The space group is P4/mmm (No. 123) and the conventional cell measures 3.340, 3.340 and 6.768 Å, with angles of 90.00, 90.00 and 90.00 degrees. The inequivalent atoms are Sm at (0.000, 0.000, 0.000), Zn at (0.500, 0.500, 0.307) and Pd at (0.000, 0.000, 0.500).

As for the density: 8524 kg/m³. The calculation puts the total energy at -3.526 eV per atom. The energy of formation comes out at -411 meV per atom. For the density of states at the Fermi level, the calculation gives 2.6 states/eV/cell.

***

Record 13
Ac4CoPt: optimized geometry, GGA-PBE.

The space group is C2/c (No. 15) and the conventional cell measures 8.807, 16.679 and 7.352 Å, with angles of 90.00, 126.24 and 90.00 degrees. The inequivalent atoms are Ac at (0.225, 0.189, 0.235), Ac at (0.243, 0.053, 0.738), Co at (0.000, 0.075, 0.250) and Pt at (0.000, 0.422, 0.750).

As for the density: 8861 kg/m³. The calculation puts the total energy at -5.338 eV per atom. The energy of formation comes out at -408 meV per atom. For the density of states at the Fermi level, the calculation gives 18.2 states/eV/cell.

***

Record 14
PrMg2Zn2Pd: optimized geometry, GGA-PBE.

The space group is I4/mmm (No. 139) and the conventional cell measures 5.062, 5.062 and 11.027 Å, with angles of 90.00, 90.00 and 90.00 degrees. The inequivalent atoms are Pr at (0.000, 0.000, 0.000), Mg at (0.000, 0.500, 0.250), Zn at (0.000, 0.000, 0.279) and Pd at (0.000, 0.000, 0.500).

As for the density: 5016 kg/m³. The calculation puts the total energy at -2.607 eV per atom. The energy of formation comes out at 11 meV per atom. For the density of states at the Fermi level, the calculation gives 4.0 states/eV/cell.

***

Record 15
CrGa3Cu: optimized geometry, GGA-PBE.

The space group is Pm-3m (No. 221) and the conventional cell measures 4.632, 4.632 and 4.632 Å, with angles of 90.00, 90.00 and 90.00 degrees. The inequivalent atoms are Cr at (0.000, 0.000, 0.000), Ga at (0.000, 0.500, 0.500) and Cu at (0.500, 0.500, 0.500).

The energy above the most stable polymorph in this dataset is 0.000 eV per atom. As for the density: 5426 kg/m³. The calculation puts the total energy at -4.064 eV per atom. The energy of formation comes out at 496 meV per atom. For the density of states at the Fermi level, the calculation gives 2.5 states/eV/cell.

***

Record 16
Ca2SbSe4: optimized geometry, GGA-PBE.

The space group is I-42d (No. 122) and the conventional cell measures 8.763, 8.763 and 9.139 Å, with angles of 90.00, 90.00 and 90.00 degrees. The inequivalent atoms are Ca at (0.132, 0.750, 0.125), Sb at (0.000, 0.000, 0.500) and Se at (0.062, 0.682, 0.448).

Its uncorrected formation energy is -1.043 eV/atom. As for the density: 4900 kg/m³. The calculation puts the total energy at -4.195 eV per atom. For the density of states at the Fermi level, the calculation gives 18.2 states/eV/cell.

***

Record 17
PuAlCd2: optimized geometry, GGA-PBE.

The space group is P4/mmm (No. 123) and the conventional cell measures 3.129, 3.129 and 9.162 Å, with angles of 90.00, 90.00 and 90.00 degrees. The inequivalent atoms are Pu at (0.000, 0.000, 0.000), Al at (0.000, 0.000, 0.500) and Cd at (0.500, 0.500, 0.274).

As for the density: 9180 kg/m³. The calculation puts the total energy at -4.942 eV per atom. The energy of formation comes out at 34 meV per atom. For the density of states at the Fermi level, the calculation gives 7.1 states/eV/cell.

***

Record 18
Zr2TiS5: optimized geometry, GGA-PBE.

The space group is Cmcm (No. 63) and the conventional cell measures 5.054, 11.733 and 12.047 Å, with angles of 90.00, 90.00 and 90.00 degrees. The inequivalent atoms are Zr at (0.000, 0.161, 0.052), Ti at (0.000, 0.200, 0.750), S at (0.000, 0.047, 0.624), S at (0.000, 0.264, 0.250) and S at (0.000, 0.337, 0.582).

The energy above the most stable polymorph in this dataset is 0.000 eV per atom. Its uncorrected formation energy is -1.386 eV/atom. As for the density: 3632 kg/m³. The calculation puts the total energy at -7.089 eV per atom. For the density of states at the Fermi level, the calculation gives 16.6 states/eV/cell.

***

Record 19
Ca2SeI: optimized geometry, GGA-PBE.

The space group is Fm-3m (No. 225) and the conventional cell measures 7.599, 7.599 and 7.599 Å, with angles of 90.00, 90.00 and 90.00 degrees. The inequivalent atoms are Ca at (0.250, 0.250, 0.250), Se at (0.000, 0.000, 0.000) and I at (0.000, 0.000, 0.500).

The energy above the most stable polymorph in this dataset is 0.269 eV per atom. Its uncorrected formation energy is -1.230 eV/atom. As for the density: 4329 kg/m³. The calculation puts the total energy at -3.489 eV per atom. For the density of states at the Fermi level, the calculation gives 9.3 states/eV/cell.

***

Record 20
Mg3PbAu3: optimized geometry, GGA-PBE.

The space group is Pm-3n (No. 223) and the conventional cell measures 7.293, 7.293 and 7.293 Å, with angles of 90.00, 90.00 and 90.00 degrees. The inequivalent atoms are Mg at (0.000, 0.250, 0.500), Pb at (0.000, 0.000, 0.000) and Au at (0.000, 0.500, 0.250).

As for the density: 7458 kg/m³. The calculation puts the total energy at -2.636 eV per atom. The energy of formation comes out at -18 meV per atom. For the density of states at the Fermi level, the calculation gives 7.0 states/eV/cell.

***

Record 21
Pr6PbSe3S2: optimized geometry, GGA-PBE.

The space group is C2/m (No. 12) and the conventional cell measures 18.719, 4.255 and 8.616 Å, with angles of 90.00, 103.79 and 90.00 degrees. The inequivalent atoms are Pr at (0.007, 0.000, 0.264), Pr at (0.172, 0.500, 0.102), Pr at (0.172, 0.500, 0.574), Pb at (0.000, 0.500, 0.000), Se at (0.000, 0.500, 0.500), Se at (0.163, 0.000, 0.832) and S at (0.168, 0.000, 0.336).

Its uncorrected formation energy is -1.664 eV/atom. As for the density: 6745 kg/m³. The calculation puts the total energy at -5.922 eV per atom. For the density of states at the Fermi level, the calculation gives 9.9 states/eV/cell.

***

Record 22
CsHoAg2Cl6: optimized geometry, GGA-PBE.

The space group is R3 (No. 146, hexagonal axes) and the conventional cell measures 7.1801, 7.1801 and 19.8020 Å, with angles of 90.00, 90.00 and 120.00 degrees. The inequivalent atoms are Cs at (0.0000, 0.0000, 0.0000), Ho at (0.0000, 0.0000, 0.4625), Ag at (0.0000, 0.0000, 0.2686), Ag at (0.0000, 0.0000, 0.7930), Cl at (0.0149, 0.5518, 0.0420) and Cl at (0.0194, 0.3409, 0.1978).

Its uncorrected formation energy is -1.484 eV/atom. As for the density: 4092 kg/m³. The calculation puts the total energy at -3.706 eV per atom. For the density of states at the Fermi level, the calculation gives 0.0 states/eV/cell.

***

Record 23
La3O2: optimized geometry, GGA-PBE.

The space group is R-3c (No. 167, hexagonal axes) and the conventional cell measures 6.4379, 6.4379 and 17.7383 Å, with angles of 90.00, 90.00 and 120.00 degrees. The inequivalent atoms are La at (0.0000, 0.3294, 0.2500) and O at (0.0000, 0.0000, 0.1638).

Its uncorrected formation energy is -2.158 eV/atom. As for the density: 7022 kg/m³. The calculation puts the total energy at -7.098 eV per atom. For the density of states at the Fermi level, the calculation gives 26.3 states/eV/cell.